The following is a PBE with a Hubbard U calculation of Cs2CeCrO6 after structural relaxation, from Alexandria via LeMat-Bulk.

Cell lengths 5.691, 6.627, 6.627 Å; angles 120.00, 90.00, 90.00 degrees
Fractional coordinates of all 10 atoms:
Cs 0.139 0.333 0.667
Cs 0.861 0.667 0.333
Ce 0.500 0.000 0.000
Cr 0.000 0.000 0.000
O 0.798 0.128 0.256
O 0.798 0.128 0.872
O 0.798 0.744 0.872
O 0.202 0.872 0.128
O 0.202 0.256 0.128
O 0.202 0.872 0.744

DFT total energy: -0.464 Ry/atom